# AlGa4Ir PBE optimized geometry
data_AlGa4Ir
_symmetry_space_group_name_H-M 'I 4/m c m'
_symmetry_Int_Tables_number 140
_symmetry_space_group_name_Hall '-I 4 2c'
_cell_length_a 6.4656
_cell_length_b 6.4656
_cell_length_c 9.8045
_cell_angle_alpha 90.00
_cell_angle_beta 90.00
_cell_angle_gamma 90.00
loop_
_atom_site_label
_atom_site_type_symbol
_atom_site_fract_x
_atom_site_fract_y
_atom_site_fract_z
_atom_site_occupancy
Al1 Al 0.0000 0.0000 0.0000 1
Ga1 Ga 0.1495 0.3505 0.1400 1
Ir1 Ir 0.0000 0.0000 0.2500 1
# E above lowest polymorph, eV per atom: 0.000
# Mass density, g cm⁻³: 8.07
# DFT total energy, eV per cell: -106.74
# Formation energy, eV per atom: -0.329
# Spin magnetization, μB/f.u.: 0.00

=====

# Al6Ga2Ir PBE optimized geometry
data_Al6Ga2Ir
_symmetry_space_group_name_H-M 'P 42/m n m'
_symmetry_Int_Tables_number 136
_symmetry_space_group_name_Hall '-P 4n 2n'
_cell_length_a 5.9227
_cell_length_b 5.9227
_cell_length_c 11.1385
_cell_angle_alpha 90.00
_cell_angle_beta 90.00
_cell_angle_gamma 90.00
loop_
_atom_site_label
_atom_site_type_symbol
_atom_site_fract_x
_atom_site_fract_y
_atom_site_fract_z
_atom_site_occupancy
Al1 Al 0.2055 0.2055 0.1509 1
Al2 Al 0.2143 0.2143 0.5000 1
Ga1 Ga 0.0000 0.0000 0.3274 1
Ir1 Ir 0.0000 0.0000 0.0000 1
# E above lowest polymorph, eV per atom: 0.326
# Mass density, g cm⁻³: 4.20
# DFT total energy, eV per cell: -72.96
# Formation energy, eV per atom: 0.099
# Spin magnetization, μB/f.u.: 0.00

=====

# AlGaIr2 PBE optimized geometry
data_AlGaIr2
_symmetry_space_group_name_H-M 'I m m m'
_symmetry_Int_Tables_number 71
_symmetry_space_group_name_Hall '-I 2 2'
_cell_length_a 2.7125
_cell_length_b 4.5452
_cell_length_c 10.6983
_cell_angle_alpha 90.00
_cell_angle_beta 90.00
_cell_angle_gamma 90.00
loop_
_atom_site_label
_atom_site_type_symbol
_atom_site_fract_x
_atom_site_fract_y
_atom_site_fract_z
_atom_site_occupancy
Al1 Al 0.0000 0.0000 0.0000 1
Ga1 Ga 0.0000 0.0000 0.5000 1
Ir1 Ir 0.0000 0.0000 0.2280 1
# Mass density, g cm⁻³: 12.11
# DFT total energy, eV per cell: -47.67
# Formation energy, eV per atom: 0.164
# Spin magnetization, μB/f.u.: 0.00

=====

# AlGa2Ir2 PBE optimized geometry
data_AlGa2Ir2
_symmetry_space_group_name_H-M 'P 4/m b m'
_symmetry_Int_Tables_number 127
_symmetry_space_group_name_Hall '-P 4 2ab'
_cell_length_a 7.3231
_cell_length_b 7.3231
_cell_length_c 2.8347
_cell_angle_alpha 90.00
_cell_angle_beta 90.00
_cell_angle_gamma 90.00
loop_
_atom_site_label
_atom_site_type_symbol
_atom_site_fract_x
_atom_site_fract_y
_atom_site_fract_z
_atom_site_occupancy
Al1 Al 0.0000 0.0000 0.0000 1
Ga1 Ga 0.1279 0.3721 0.0000 1
Ir1 Ir 0.1706 0.6706 0.5000 1
# E above lowest polymorph, eV per atom: 0.099
# Mass density, g cm⁻³: 12.03
# DFT total energy, eV per cell: -57.88
# Formation energy, eV per atom: -0.284
# Spin magnetization, μB/f.u.: 0.00

=====

# AlGa2Ir3 PBE optimized geometry
data_AlGa2Ir3
_symmetry_space_group_name_H-M 'P 4/m m m'
_symmetry_Int_Tables_number 123
_symmetry_space_group_name_Hall '-P 4 2'
_cell_length_a 2.9718
_cell_length_b 2.9718
_cell_length_c 9.6135
_cell_angle_alpha 90.00
_cell_angle_beta 90.00
_cell_angle_gamma 90.00
loop_
_atom_site_label
_atom_site_type_symbol
_atom_site_fract_x
_atom_site_fract_y
_atom_site_fract_z
_atom_site_occupancy
Al1 Al 0.0000 0.0000 0.0000 1
Ga1 Ga 0.0000 0.0000 0.3315 1
Ir1 Ir 0.5000 0.5000 0.1614 1
Ir2 Ir 0.5000 0.5000 0.5000 1
# Mass density, g cm⁻³: 14.53
# DFT total energy, eV per cell: -39.80
# Formation energy, eV per atom: -0.571
# Spin magnetization, μB/f.u.: 0.00

=====

# AlGa2Ir2 PBE optimized geometry
data_AlGa2Ir2
_symmetry_space_group_name_H-M 'P 4/m b m'
_symmetry_Int_Tables_number 127
_symmetry_space_group_name_Hall '-P 4 2ab'
_cell_length_a 7.1724
_cell_length_b 7.1724
_cell_length_c 3.0095
_cell_angle_alpha 90.00
_cell_angle_beta 90.00
_cell_angle_gamma 90.00
loop_
_atom_site_label
_atom_site_type_symbol
_atom_site_fract_x
_atom_site_fract_y
_atom_site_fract_z
_atom_site_occupancy
Al1 Al 0.0000 0.0000 0.0000 1
Ga1 Ga 0.1431 0.3569 0.5000 1
Ir1 Ir 0.1562 0.6562 0.0000 1
# E above lowest polymorph, eV per atom: 0.000
# Mass density, g cm⁻³: 11.82
# DFT total energy, eV per cell: -58.86
# Formation energy, eV per atom: -0.383
# Spin magnetization, μB/f.u.: 0.00

=====

# AlGaIr2 PBE optimized geometry
data_AlGaIr2
_symmetry_space_group_name_H-M 'F m -3 m'
_symmetry_Int_Tables_number 225
_symmetry_space_group_name_Hall '-F 4 2 3'
_cell_length_a 6.0752
_cell_length_b 6.0752
_cell_length_c 6.0752
_cell_angle_alpha 90.00
_cell_angle_beta 90.00
_cell_angle_gamma 90.00
loop_
_atom_site_label
_atom_site_type_symbol
_atom_site_fract_x
_atom_site_fract_y
_atom_site_fract_z
_atom_site_occupancy
Al1 Al 0.0000 0.0000 0.0000 1
Ga1 Ga 0.0000 0.0000 0.5000 1
Ir1 Ir 0.2500 0.2500 0.2500 1
# Mass density, g cm⁻³: 14.25
# DFT total energy, eV per cell: -108.41
# Formation energy, eV per atom: -0.653
# Spin magnetization, μB/f.u.: 0.00

=====

# AlGa4Ir PBE optimized geometry
data_AlGa4Ir
_symmetry_space_group_name_H-M 'P 2 2 2'
_symmetry_Int_Tables_number 16
_cell_length_a 5.2553
_cell_length_b 6.0745
_cell_length_c 6.4610
_cell_angle_alpha 90.00
_cell_angle_beta 90.00
_cell_angle_gamma 90.00
loop_
_symmetry_equiv_pos_as_xyz
'x,y,z'
'-x,-y,z'
'x,-y,-z'
'-x,y,-z'
loop_
_atom_site_label
_atom_site_type_symbol
_atom_site_fract_x
_atom_site_fract_y
_atom_site_fract_z
_atom_site_occupancy
Al1 Al 0.0000 0.0000 0.0000 1
Al2 Al 0.5000 0.5000 0.0000 1
Ga1 Ga 0.1886 0.3066 0.7468 1
Ga2 Ga 0.2776 0.1665 0.3317 1
Ir1 Ir 0.5000 0.0000 0.0000 1
Ir2 Ir 0.5000 0.5000 0.5000 1
# E above lowest polymorph, eV per atom: 0.167
# Mass density, g cm⁻³: 8.02
# DFT total energy, eV per cell: -51.37
# Formation energy, eV per atom: -0.162
# Spin magnetization, μB/f.u.: 0.00

=====

# KAlGa2Ir PBE optimized geometry
data_KAlGa2Ir
_symmetry_space_group_name_H-M 'P 4/m m m'
_symmetry_Int_Tables_number 123
_symmetry_space_group_name_Hall '-P 4 2'
_cell_length_a 4.9034
_cell_length_b 4.9034
_cell_length_c 4.8393
_cell_angle_alpha 90.00
_cell_angle_beta 90.00
_cell_angle_gamma 90.00
loop_
_atom_site_label
_atom_site_type_symbol
_atom_site_fract_x
_atom_site_fract_y
_atom_site_fract_z
_atom_site_occupancy
K1 K 0.0000 0.0000 0.0000 1
Al1 Al 0.5000 0.5000 0.0000 1
Ga1 Ga 0.0000 0.5000 0.5000 1
Ir1 Ir 0.5000 0.5000 0.5000 1
# Mass density, g cm⁻³: 5.68
# DFT total energy, eV per cell: -20.99
# Formation energy, eV per atom: -0.247
# Spin magnetization, μB/f.u.: 0.05

=====

# LaAlGaIr PBE optimized geometry
data_LaAlGaIr
_symmetry_space_group_name_H-M 'R 3 m'
_symmetry_Int_Tables_number 160
_symmetry_space_group_name_Hall 'R 3 -2"'
_cell_length_a 4.3960
_cell_length_b 4.3960
_cell_length_c 15.5602
_cell_angle_alpha 90.00
_cell_angle_beta 90.00
_cell_angle_gamma 120.00
loop_
_atom_site_label
_atom_site_type_symbol
_atom_site_fract_x
_atom_site_fract_y
_atom_site_fract_z
_atom_site_occupancy
La1 La 0.0000 0.0000 0.0000 1
Al1 Al 0.0000 0.0000 0.4685 1
Ga1 Ga 0.0000 0.0000 0.2034 1
Ir1 Ir 0.0000 0.0000 0.8088 1
# Mass density, g cm⁻³: 8.18
# DFT total energy, eV per cell: -70.28
# Formation energy, eV per atom: -0.717
# Spin magnetization, μB/f.u.: 0.00

=====

# La2AlGa3Ir4 PBE optimized geometry
data_La2AlGa3Ir4
_symmetry_space_group_name_H-M 'P -4 m 2'
_symmetry_Int_Tables_number 115
_cell_length_a 4.3069
_cell_length_b 4.3069
_cell_length_c 10.3814
_cell_angle_alpha 90.00
_cell_angle_beta 90.00
_cell_angle_gamma 90.00
loop_
_symmetry_equiv_pos_as_xyz
'x,y,z'
'y,-x,-z'
'-x,-y,z'
'-y,x,-z'
'-x,y,z'
'-y,-x,-z'
'x,-y,z'
'y,x,-z'
loop_
_atom_site_label
_atom_site_type_symbol
_atom_site_fract_x
_atom_site_fract_y
_atom_site_fract_z
_atom_site_occupancy
La1 La 0.0000 0.5000 0.2384 1
Al1 Al 0.0000 0.0000 0.5000 1
Ga1 Ga 0.0000 0.5000 0.8751 1
Ga2 Ga 0.5000 0.5000 0.5000 1
Ir1 Ir 0.0000 0.0000 0.0000 1
Ir2 Ir 0.0000 0.5000 0.6310 1
Ir3 Ir 0.5000 0.5000 0.0000 1
# Mass density, g cm⁻³: 11.06
# DFT total energy, eV per cell: -65.88
# Formation energy, eV per atom: -0.776
# Spin magnetization, μB/f.u.: 0.00

=====

# MgAlGaIr PBE optimized geometry
data_MgAlGaIr
_symmetry_space_group_name_H-M 'F -4 3 m'
_symmetry_Int_Tables_number 216
_symmetry_space_group_name_Hall 'F -4 2 3'
_cell_length_a 6.2351
_cell_length_b 6.2351
_cell_length_c 6.2351
_cell_angle_alpha 90.00
_cell_angle_beta 90.00
_cell_angle_gamma 90.00
loop_
_atom_site_label
_atom_site_type_symbol
_atom_site_fract_x
_atom_site_fract_y
_atom_site_fract_z
_atom_site_occupancy
Mg1 Mg 0.0000 0.0000 0.0000 1
Al1 Al 0.2500 0.2500 0.7500 1
Ga1 Ga 0.2500 0.2500 0.2500 1
Ir1 Ir 0.0000 0.0000 0.5000 1
# E above lowest polymorph, eV per atom: 0.065
# Mass density, g cm⁻³: 8.58
# DFT total energy, eV per cell: -74.89
# Formation energy, eV per atom: -0.374
# Spin magnetization, μB/f.u.: 0.00